[1]
12
Lattice="6.7906 0.0031 0.0011 -3.3910 5.8833 0.0011 -1.1336 -1.9628 7.7844" Properties=species:S:1:pos:R:3 comment="K3UPd2Se6, relaxed, DFT GGA-PBE" raw_formation_energy_ev_per_fu=-9.90 sg="No. 12" magmom_total_mub_per_atom=0.02 pbc="T T T"
Se 0.0202 0.0351 6.2788
Se 3.4182 1.9296 6.2749
Se 2.2457 3.8885 1.5079
Se 2.3029 -0.0015 1.5117
Se -1.1522 1.9939 1.5117
Se -0.0369 3.9250 6.2749
K 4.5313 -0.0009 3.8933
K -2.2653 3.9244 3.8933
K 1.1330 1.9618 3.8933
U 0.0000 0.0000 0.0000
Pd 3.3978 1.9625 0.0011
Pd 0.0018 3.9238 0.0011

[2]
8
Lattice="7.4403 0.0000 0.0000 0.0000 7.4403 0.0000 3.7202 3.7202 2.9451" Properties=species:S:1:pos:R:3 comment="HfScTi2, relaxed, DFT GGA-PBE" sg="No. 122" formation_enthalpy_0k_ev_per_atom=0.571 relative_energy_mev_per_atom=468 magmom_total_mub_per_atom=0.26 pbc="T T T"
Ti 5.5534 1.8601 0.7363
Ti 5.5802 5.6071 2.2088
Ti 9.3004 9.2735 2.2088
Ti 1.8870 5.5802 0.7363
Hf 0.0000 0.0000 0.0000
Hf 7.4403 3.7202 1.4726
Sc 3.7202 3.7202 0.0000
Sc 3.7202 7.4403 1.4726

[3]
10
Lattice="7.3645 0.0000 0.0000 0.0000 7.3645 0.0000 0.0000 0.0000 6.2809" Properties=species:S:1:pos:R:3 comment="Cs2NiTe2, relaxed, DFT GGA-PBE" raw_formation_energy_ev_per_fu=-1.64 sg="No. 127" magmom_total_mub_per_atom=0.00 pbc="T T T"
Te 6.1324 4.9143 0.0000
Te 1.2321 2.4501 0.0000
Te 2.4501 6.1324 0.0000
Te 4.9143 1.2321 0.0000
Cs 1.2366 4.9189 3.1404
Cs 4.9189 6.1279 3.1404
Cs 6.1279 2.4456 3.1404
Cs 2.4456 1.2366 3.1404
Ni 3.6822 3.6822 0.0000
Ni 0.0000 0.0000 0.0000

[4]
11
Lattice="-2.0264 2.9413 -0.0929 -5.4553 -3.8822 -3.9173 -3.6415 -2.2268 8.9257" Properties=species:S:1:pos:R:3 comment="Tb4Al2Cd5, relaxed, DFT GGA-PBE" sg="No. 10" formation_enthalpy_0k_ev_per_atom=-0.299 magmom_total_mub_per_atom=0.00 pbc="T T T"
Tb -4.0597 -0.5371 2.8370
Tb -7.0636 -2.6305 2.0785
Tb -5.1233 -1.1343 7.1262
Tb -5.9999 -2.0333 -2.2107
Al -2.6145 -1.6311 5.3861
Al -6.4823 -4.4779 -0.3777
Cd -2.7276 -1.9411 -1.9586
Cd -7.5053 -5.0351 4.2911
Cd -1.5916 -1.0738 0.7173
Cd -4.1848 -2.8684 0.4669
Cd -4.9120 -3.2406 4.5415

[5]
8
Lattice="-0.2064 -5.3366 4.6488 -0.3486 -4.6374 -5.3390 4.6883 -0.2550 -0.0846" Properties=species:S:1:pos:R:3 comment="ErAgTe2, relaxed, DFT GGA-PBE" raw_formation_energy_ev_per_fu=-3.59 sg="No. 113" magmom_total_mub_per_atom=0.00 pbc="T T T"
Te 3.1057 -4.8607 2.1252
Te 0.9580 -7.5886 -0.0600
Te 2.9810 -5.4746 -2.9353
Te 1.2218 -2.5341 -0.6796
Er 3.6160 -2.5249 -2.7379
Er 0.7947 -2.7171 2.3082
Ag -0.2775 -4.9870 -0.3451
Ag 0.0000 0.0000 0.0000

[6]
4
Lattice="-3.1073 -0.7261 -1.2371 -1.9102 -2.4207 1.4847 -6.5725 7.3449 7.4637" Properties=species:S:1:pos:R:3 comment="PrDy2Pa, relaxed, DFT GGA-PBE" sg="No. 166" formation_enthalpy_0k_ev_per_atom=0.194 relative_energy_mev_per_atom=66 magmom_total_mub_per_atom=0.00 pbc="T T T"
Dy -6.3885 -0.7983 2.3128
Dy -5.2015 4.9964 5.3985
Pa -5.7950 2.0991 3.8557
Pr 0.0000 0.0000 0.0000

[7]
10
Lattice="4.4610 -2.5755 0.0000 0.0000 5.1511 0.0000 0.0000 0.0000 11.0252" Properties=species:S:1:pos:R:3 comment="RbCd3Rh, relaxed, DFT GGA-PBE" sg="No. 194" formation_enthalpy_0k_ev_per_atom=0.145 relative_energy_mev_per_atom=253 magmom_total_mub_per_atom=0.00 pbc="T T T"
Cd 2.9740 0.0000 6.0489
Cd 0.0000 0.0000 2.7563
Cd 1.4870 2.5755 4.9763
Cd 2.9740 0.0000 10.4889
Cd 0.0000 0.0000 8.2689
Cd 1.4870 2.5755 0.5363
Rb 2.9740 0.0000 2.7563
Rb 1.4870 2.5755 8.2689
Rh 0.0000 0.0000 5.5126
Rh 0.0000 0.0000 0.0000

[8]
4
Lattice="6.0955 -0.0006 -0.0009 2.2189 5.6773 0.0009 -4.1555 -2.8407 3.4375" Properties=species:S:1:pos:R:3 comment="LaTl3, relaxed, DFT GGA-PBE" sg="No. 139" formation_enthalpy_0k_ev_per_atom=-0.270 magmom_total_mub_per_atom=0.00 pbc="T T T"
Tl 2.0769 1.4180 0.0000
Tl -0.9683 1.4183 1.7192
Tl 6.2375 4.2587 0.0000
La 0.9700 -1.4207 1.7183

[9]
5
Lattice="-1.9965 0.5315 2.9984 2.8887 -0.8040 2.0660 1.0542 3.8416 0.0210" Properties=species:S:1:pos:R:3 comment="LiCo2CuC, relaxed, DFT GGA-PBE" sg="No. 123" formation_enthalpy_0k_ev_per_atom=0.121 relative_energy_mev_per_atom=11 magmom_total_mub_per_atom=0.14 pbc="T T T"
Co -0.9983 0.2658 1.4992
Co 1.4443 -0.4020 1.0330
Cu 0.9732 1.7845 2.5427
C 0.0000 0.0000 0.0000
Li 0.5271 1.9208 0.0105

[10]
8
Lattice="4.1402 0.0000 0.0000 0.0000 4.1402 0.0000 2.0701 2.0701 10.1355" Properties=species:S:1:pos:R:3 comment="ScReSn2, relaxed, DFT GGA-PBE" sg="No. 122" formation_enthalpy_0k_ev_per_atom=0.368 relative_energy_mev_per_atom=377 magmom_total_mub_per_atom=0.00 pbc="T T T"
Sc 2.0701 4.1402 5.0678
Sc 2.0701 2.0701 0.0000
Re 0.0000 0.0000 0.0000
Re 4.1402 2.0701 5.0678
Sn 5.1752 5.1890 7.6016
Sn 3.1190 1.0350 2.5339
Sn 3.1051 3.0913 7.6016
Sn 1.0212 3.1051 2.5339

[11]
4
Lattice="4.2941 -0.0003 -0.0001 -2.1464 3.7192 0.0003 -2.1456 -1.2391 7.6247" Properties=species:S:1:pos:R:3 comment="SmTmSbTe, relaxed, DFT GGA-PBE" raw_formation_energy_ev_per_fu=-4.72 sg="No. 160" magmom_total_mub_per_atom=0.00 pbc="T T T"
Tm 0.4066 -0.2718 4.8439
Sm -1.7410 3.4473 0.7589
Te 2.5531 0.9680 2.8407
Sb -1.7398 0.9682 6.5750